## KMgFe2F8 (GGA+U)

Data for a relaxed structure of KMgFe2F8.

The structure in POSCAR format:
```
KMgFe2F8
1.0
-1.921 4.452 2.716
-3.522 -3.329 -2.721
-0.859 -4.136 6.171
K Mg Fe F
1 1 2 8
Cartesian
0.000 0.000 0.000
-0.430 -2.068 3.085
-2.678 0.786 2.504
-3.625 -3.798 3.661
-3.839 -4.831 5.203
-1.775 -0.873 2.227
-1.912 1.748 3.965
-2.463 1.819 0.963
-4.391 -4.760 2.201
-4.528 -2.139 3.939
-1.754 -3.524 3.396
-4.549 0.512 2.770
```

Crystal system ... trigonal
Energy ... -60.5 eV for the cell shown